1.
Entry from Alexandria via LeMat-Bulk: La4PmHo4 after structural relaxation (PBE-GGA).

a = 6.1017 Å, b = 6.1017 Å, c = 19.7029 Å
α = 90.00°, β = 90.00°, γ = 90.00°
Space group I-42m (No. 121)
Symmetry-distinct sites (fractional):
La 0.0000 0.0000 0.1429 x4
La 0.0000 0.5000 0.0000 x4
Pm 0.0000 0.0000 0.0000 x2
Ho 0.1802 0.1802 0.7047 x8

Output
For the final energy, the calculation gives -4.07 eV per atom. The energy relative to the lowest polymorph listed for this composition is 5.93 eV/f.u. The formation energy comes out at 0.69 eV per atom.

---

2.
Entry from Alexandria via LeMat-Bulk: La2PmHo after structural relaxation (PBE-GGA).

a = 5.2076 Å, b = 5.2076 Å, c = 5.1112 Å
α = 90.00°, β = 90.00°, γ = 90.00°
Space group P4/mmm (No. 123)
Symmetry-distinct sites (fractional):
La 0.0000 0.5000 0.0000 x2
Pm 0.0000 0.0000 0.5000 x1
Ho 0.5000 0.5000 0.5000 x1

Output
For the final energy, the calculation gives -4.78 eV per atom. The energy relative to the lowest polymorph listed for this composition is 0.01 eV/f.u. The formation energy comes out at 0.02 eV per atom.

---

3.
Entry from Alexandria via LeMat-Bulk: La4PmHo10 after structural relaxation (PBE-GGA).

a = 9.7427 Å, b = 9.7427 Å, c = 10.7625 Å
α = 90.00°, β = 90.00°, γ = 90.00°
Space group I4/m (No. 87)
Symmetry-distinct sites (fractional):
La 0.0649 0.3348 0.0000 x8
Pm 0.0000 0.0000 0.0000 x2
Ho 0.0000 0.5000 0.2500 x4
Ho 0.1151 0.2086 0.3410 x16

Output
For the final energy, the calculation gives -4.33 eV per atom. The formation energy comes out at 0.35 eV per atom.

---

4.
Entry from Alexandria via LeMat-Bulk: La2Pm12Ho5 after structural relaxation (PBE-GGA).

a = 15.9377 Å, b = 9.3806 Å, c = 8.7398 Å
α = 90.00°, β = 91.06°, γ = 90.00°
Space group C2/m (No. 12)
Symmetry-distinct sites (fractional):
La 0.0000 0.1752 0.0000 x4
Pm 0.0641 0.0000 0.3381 x4
Pm 0.0873 0.5000 0.8811 x4
Pm 0.1264 0.1933 0.6632 x8
Pm 0.1543 0.3202 0.2387 x8
Ho 0.0000 0.5000 0.5000 x2
Ho 0.2018 0.0000 0.0212 x4
Ho 0.2304 0.5000 0.5706 x4

Output
For the final energy, the calculation gives -4.59 eV per atom. The energy relative to the lowest polymorph listed for this composition is 0.17 eV/f.u. The formation energy comes out at 0.13 eV per atom.

---

5.
Entry from Alexandria via LeMat-Bulk: La3Pm4Ho4 after structural relaxation (PBE-GGA).

a = 3.6350 Å, b = 9.5080 Å, c = 22.2353 Å
α = 90.00°, β = 90.00°, γ = 90.00°
Space group Immm (No. 71)
Symmetry-distinct sites (fractional):
La 0.0000 0.0000 0.0000 x2
La 0.0000 0.5000 0.1093 x4
Pm 0.0000 0.3212 0.3525 x8
Ho 0.0000 0.0000 0.2579 x4
Ho 0.0000 0.1819 0.5000 x4

Output
For the final energy, the calculation gives -4.60 eV per atom. The energy relative to the lowest polymorph listed for this composition is 0.00 eV/f.u. The formation energy comes out at 0.14 eV per atom.

---

6.
Entry from Alexandria via LeMat-Bulk: La4PmHo4 after structural relaxation (PBE-GGA).

a = 10.9005 Å, b = 10.9005 Å, c = 5.1632 Å
α = 90.00°, β = 90.00°, γ = 90.00°
Space group I4/mmm (No. 139)
Symmetry-distinct sites (fractional):
La 0.0000 0.3308 0.0000 x8
Pm 0.0000 0.0000 0.0000 x2
Ho 0.1650 0.1650 0.5000 x8

Output
For the final energy, the calculation gives -4.72 eV per atom. The energy relative to the lowest polymorph listed for this composition is 0.00 eV/f.u. The formation energy comes out at 0.03 eV per atom.

---

7.
Entry from Alexandria via LeMat-Bulk: La2Pm2Ho5 after structural relaxation (PBE-GGA).

a = 15.0383 Å, b = 12.0035 Å, c = 6.7490 Å
α = 90.00°, β = 90.00°, γ = 90.00°
Space group Ima2 (No. 46)
Symmetry-distinct sites (fractional):
La 0.0000 0.0000 0.0000 x4
La 0.2500 0.0076 0.0929 x4
Pm 0.1261 0.5035 0.0487 x8
Ho 0.0539 0.7409 0.6958 x8
Ho 0.1416 0.2339 0.8898 x8
Ho 0.2500 0.7420 0.8994 x4

Output
For the final energy, the calculation gives -4.50 eV per atom. The energy relative to the lowest polymorph listed for this composition is 0.00 eV/f.u. The formation energy comes out at 0.20 eV per atom.

---

8.
Entry from Alexandria via LeMat-Bulk: LaPm4Ho3 after structural relaxation (PBE-GGA).

a = 3.4879 Å, b = 11.7786 Å, c = 13.0769 Å
α = 90.00°, β = 90.00°, γ = 90.00°
Space group Immm (No. 71)
Symmetry-distinct sites (fractional):
La 0.0000 0.0000 0.0000 x2
Pm 0.0000 0.2507 0.1336 x8
Ho 0.0000 0.0000 0.5000 x2
Ho 0.0000 0.5000 0.2584 x4

Output
For the final energy, the calculation gives -4.58 eV per atom. The energy relative to the lowest polymorph listed for this composition is 0.80 eV/f.u. The formation energy comes out at 0.13 eV per atom.

---

> Number 2 is which compound?

La2PmHo